--- A ---
This record from the Alexandria database describes a relaxed P2PdCCl crystal. The functional is GGA-PBE.

a b c (Å): 4.030 4.030 4.498
angles (deg): 90.00 90.00 90.00
Space group P4/mmm (No. 123)
Unique sites:
1 P 0.000 0.500 0.000
2 Pd 0.000 0.000 0.500
3 C 0.500 0.500 0.000
4 Cl 0.500 0.500 0.500

M_tot: 0.00 μB/f.u.

=====

--- B ---
This record from the Alexandria database describes a relaxed P2PdCCl crystal. The functional is GGA-PBE.

a b c (Å): 4.639 4.639 4.921
angles (deg): 90.00 90.00 90.00
Space group P4/mmm (No. 123)
Unique sites:
1 P 0.000 0.500 0.000
2 Pd 0.000 0.000 0.000
3 C 0.500 0.500 0.500
4 Cl 0.000 0.000 0.500

M_tot: 1.10 μB/f.u.

=====

Structures ranked by computed energy, the most stable listed first: A, B.

=====

--- A ---
This record from the Alexandria database describes a relaxed P2PtCCl crystal. The functional is GGA-PBE.

a b c (Å): 4.094 4.094 4.131
angles (deg): 90.00 90.00 90.00
Space group P4/mmm (No. 123)
Unique sites:
1 P 0.000 0.500 0.000
2 Pt 0.000 0.000 0.500
3 C 0.500 0.500 0.000
4 Cl 0.500 0.500 0.500

M_tot: 0.00 μB/f.u.

=====

--- B ---
This record from the Alexandria database describes a relaxed P2PtCCl crystal. The functional is GGA-PBE.

a b c (Å): 4.638 4.638 5.000
angles (deg): 90.00 90.00 90.00
Space group P4/mmm (No. 123)
Unique sites:
1 P 0.000 0.500 0.000
2 Pt 0.000 0.000 0.000
3 C 0.500 0.500 0.500
4 Cl 0.000 0.000 0.500

M_tot: 1.34 μB/f.u.

=====

Structures ranked by computed energy, the most stable listed first: A, B.

=====

--- A ---
This record from the Alexandria database describes a relaxed PPtCCl2 crystal. The functional is GGA-PBE.

a b c (Å): 5.028 5.028 4.509
angles (deg): 90.00 90.00 90.00
Space group P4/mmm (No. 123)
Unique sites:
1 P 0.000 0.000 0.000
2 Pt 0.000 0.000 0.500
3 C 0.500 0.500 0.000
4 Cl 0.000 0.500 0.500

M_tot: 1.68 μB/f.u.

=====

--- B ---
This record from the Alexandria database describes a relaxed PPtCCl2 crystal. The functional is GGA-PBE.

a b c (Å): 3.914 3.914 5.112
angles (deg): 90.00 90.00 90.00
Space group P4/mmm (No. 123)
Unique sites:
1 P 0.000 0.000 0.000
2 Pt 0.500 0.500 0.000
3 C 0.000 0.000 0.500
4 Cl 0.000 0.500 0.500

M_tot: 0.00 μB/f.u.

=====

Structures ranked by computed energy, the most stable listed first: B, A.